No. 1
This record from the Alexandria database describes a relaxed BaTc2Au crystal. The functional is PBE.

Lattice parameters (Å, degrees): 5.997 9.798 2.778 90.00 90.00 90.00
Space group Cmmm (No. 65)
Symmetry-distinct sites (fractional):
Ba1 0.000 0.000 0.000 x2
Tc1 0.250 0.250 0.500 x4
Au1 0.000 0.500 0.000 x2

As for the total energy: -21.37 eV per formula unit. Its spin magnetization is 0.00 μB/cell. The value obtained for the formation enthalpy at 0 K is 1140 meV/atom. The energy above the most stable polymorph in this dataset comes out at 20.75 kcal/mol of atoms.

***

No. 2
This record from the Alexandria database describes a relaxed LaBe4Al crystal. The functional is PBE.

Lattice parameters (Å, degrees): 6.992 6.992 6.992 90.00 90.00 90.00
Space group F-43m (No. 216)
Symmetry-distinct sites (fractional):
La1 0.000 0.000 0.000 x4
Be1 0.129 0.129 0.371 x16
Al1 0.250 0.250 0.750 x4

As for the total energy: -21.81 eV per formula unit. Its spin magnetization is 0.00 μB/cell. The value obtained for the formation enthalpy at 0 K is 294 meV/atom.

***

No. 3
This record from the Alexandria database describes a relaxed Al4TeIr crystal. The functional is PBE.

Lattice parameters (Å, degrees): 7.483 7.483 7.483 90.00 90.00 90.00
Space group F-43m (No. 216)
Symmetry-distinct sites (fractional):
Al1 0.125 0.125 0.125 x16
Te1 0.000 0.000 0.500 x4
Ir1 0.250 0.250 0.750 x4

As for the total energy: -25.03 eV per formula unit. The uncorrected formation energy comes out at 1.9 eV/f.u. Its spin magnetization is 0.00 μB/cell.

***

No. 4
This record from the Alexandria database describes a relaxed ZrSc3Cd4 crystal. The functional is PBE.

Lattice parameters (Å, degrees): 4.958 4.958 7.179 90.00 90.00 90.00
Space group P4/mmm (No. 123)
Symmetry-distinct sites (fractional):
Zr1 0.000 0.000 0.000 x1
Sc1 0.000 0.000 0.500 x1
Sc2 0.500 0.500 0.000 x1
Sc3 0.500 0.500 0.500 x1
Cd1 0.000 0.500 0.254 x4

As for the total energy: -33.00 eV per formula unit. Its spin magnetization is 1.45 μB/cell. The value obtained for the formation enthalpy at 0 K is -224 meV/atom.

***

No. 5
This record from the Alexandria database describes a relaxed Pm2Y4Th crystal. The functional is PBE.

Lattice parameters (Å, degrees): 6.285 3.630 20.427 90.00 95.93 90.00
Space group Cm (No. 8)
Symmetry-distinct sites (fractional):
Pm1 0.000 0.000 0.000 x2
Pm2 0.095 0.000 0.287 x2
Y1 0.286 0.000 0.856 x2
Y2 0.309 0.500 0.431 x2
Y3 0.381 0.000 0.144 x2
Y4 0.404 0.500 0.716 x2
Th1 0.190 0.000 0.573 x2

As for the total energy: -42.61 eV per formula unit. Its spin magnetization is 0.00 μB/cell. The value obtained for the formation enthalpy at 0 K is 24 meV/atom. The energy above the most stable polymorph in this dataset comes out at 0.00 kcal/mol of atoms.

***

No. 6
This record from the Alexandria database describes a relaxed Ac2ScBi2O2 crystal. The functional is PBE.

Lattice parameters (Å, degrees): 4.382 4.382 17.585 90.00 90.00 90.00
Space group I4/mmm (No. 139)
Symmetry-distinct sites (fractional):
Ac1 0.000 0.000 0.107 x4
Sc1 0.000 0.000 0.500 x2
Bi1 0.000 0.000 0.313 x4
O1 0.000 0.500 0.000 x4

As for the total energy: -45.62 eV per formula unit. The uncorrected formation energy comes out at -13.4 eV/f.u. Its spin magnetization is 0.00 μB/cell.

***

No. 7
This record from the Alexandria database describes a relaxed Cr2Pt9Au crystal. The functional is PBE.

Lattice parameters (Å, degrees): 3.944 3.944 11.882 90.00 90.00 90.00
Space group P4/mmm (No. 123)
Symmetry-distinct sites (fractional):
Cr1 0.000 0.000 0.166 x2
Pt1 0.000 0.500 0.000 x2
Pt2 0.000 0.500 0.323 x4
Pt3 0.500 0.500 0.162 x2
Pt4 0.500 0.500 0.500 x1
Au1 0.000 0.000 0.500 x1

As for the total energy: -78.91 eV per formula unit. Its spin magnetization is 4.70 μB/cell. The value obtained for the formation enthalpy at 0 K is -168 meV/atom.

***

No. 8
This record from the Alexandria database describes a relaxed K3Sb5O12 crystal. The functional is PBE.

Lattice parameters (Å, degrees): 13.961 13.961 13.961 90.00 90.00 90.00
Space group Ia-3d (No. 230)
Symmetry-distinct sites (fractional):
K1 0.000 0.250 0.125 x24
Sb1 0.000 0.000 0.000 x16
Sb2 0.000 0.250 0.375 x24
O1 0.040 0.045 0.651 x96

As for the total energy: -111.09 eV per formula unit. The uncorrected formation energy comes out at -27.7 eV/f.u. Its spin magnetization is 0.00 μB/cell.

***

No. 9
This record from the Alexandria database describes a relaxed K2MgSc crystal. The functional is PBE.

Lattice parameters (Å, degrees): 4.893 4.893 12.712 90.00 90.00 90.00
Space group I4/mmm (No. 139)
Symmetry-distinct sites (fractional):
K1 0.000 0.500 0.250 x4
Mg1 0.000 0.000 0.000 x2
Sc1 0.000 0.000 0.500 x2

As for the total energy: -7.92 eV per formula unit. Its spin magnetization is 2.44 μB/cell. The value obtained for the formation enthalpy at 0 K is 549 meV/atom.

***

No. 10
This record from the Alexandria database describes a relaxed CaTl4Pb2 crystal. The functional is PBE.

Lattice parameters (Å, degrees): 7.971 7.971 3.665 90.00 90.00 90.00
Space group P4/mmm (No. 123)
Symmetry-distinct sites (fractional):
Ca1 0.000 0.000 0.000 x1
Tl1 0.296 0.296 0.000 x4
Pb1 0.000 0.500 0.500 x2

As for the total energy: -18.75 eV per formula unit. Its spin magnetization is 0.00 μB/cell. The value obtained for the formation enthalpy at 0 K is 19 meV/atom. The energy above the most stable polymorph in this dataset comes out at 1.46 kcal/mol of atoms.

***

No. 11
This record from the Alexandria database describes a relaxed HoThBeCu crystal. The functional is PBE.

Lattice parameters (Å, degrees): 6.992 6.992 6.992 90.00 90.00 90.00
Space group F-43m (No. 216)
Symmetry-distinct sites (fractional):
Ho1 0.000 0.000 0.000 x4
Th1 0.000 0.000 0.500 x4
Be1 0.250 0.250 0.750 x4
Cu1 0.250 0.250 0.250 x4

As for the total energy: -19.68 eV per formula unit. Its spin magnetization is 0.00 μB/cell. The value obtained for the formation enthalpy at 0 K is 36 meV/atom.

***

No. 12
This record from the Alexandria database describes a relaxed K2Si2Cl crystal. The functional is PBE.

Lattice parameters (Å, degrees): 3.614 3.614 19.498 90.00 90.00 90.00
Space group I4/mmm (No. 139)
Symmetry-distinct sites (fractional):
K1 0.000 0.000 0.098 x4
Si1 0.000 0.500 0.250 x4
Cl1 0.000 0.000 0.500 x2

As for the total energy: -17.76 eV per formula unit. The uncorrected formation energy comes out at -2.9 eV/f.u. Its spin magnetization is 0.00 μB/cell.

***

Please write out number 6 again, unchanged.
This record from the Alexandria database describes a relaxed Ac2ScBi2O2 crystal. The functional is PBE.

Lattice parameters (Å, degrees): 4.382 4.382 17.585 90.00 90.00 90.00
Space group I4/mmm (No. 139)
Symmetry-distinct sites (fractional):
Ac1 0.000 0.000 0.107 x4
Sc1 0.000 0.000 0.500 x2
Bi1 0.000 0.000 0.313 x4
O1 0.000 0.500 0.000 x4

As for the total energy: -45.62 eV per formula unit. The uncorrected formation energy comes out at -13.4 eV/f.u. Its spin magnetization is 0.00 μB/cell.

***

The highest spin magnetization belongs to which entry?
Cr2Pt9Au